1.
The following is a DFT calculation (PBE) of crystalline Er5ThSe6 at its relaxed geometry.

a b c (Å): 7.0370 12.2660 7.0340
angles (deg): 90.00 109.87 90.00
Space group C2/m (No. 12)
Inequivalent atoms, fractional coordinates:
Er 0.0000 0.0000 0.0000 (multiplicity 2)
Er 0.0000 0.1665 0.5000 (multiplicity 4)
Er 0.0000 0.3385 0.0000 (multiplicity 4)
Th 0.0000 0.5000 0.5000 (multiplicity 2)
Se 0.2401 0.0000 0.7530 (multiplicity 4)
Se 0.2425 0.1723 0.2429 (multiplicity 8)

Output
ΔE_f (raw) = -1.654 eV per atom
Total DFT energy (no corrections) = -5.916 eV/atom



2.
The following is a DFT calculation (PBE) of crystalline Al2CuNi3 at its relaxed geometry.

a b c (Å): 4.8442 4.8442 7.3333
angles (deg): 90.00 90.00 120.00
Space group P6_3/mmc (No. 194)
Inequivalent atoms, fractional coordinates:
Al 0.3333 0.6667 0.0642 (multiplicity 4)
Cu 0.0000 0.0000 0.0000 (multiplicity 2)
Ni 0.1726 0.3453 0.7500 (multiplicity 6)

Output
Relative energy among the computed polymorphs = 1.164 eV per formula unit
Energy relative to the elements = -0.257 eV per atom
Total DFT energy (no corrections) = -5.078 eV/atom



3.
The following is a DFT calculation (PBE) of crystalline Li2CeZnF8 at its relaxed geometry.

a b c (Å): 4.7416 6.9216 4.7618
angles (deg): 90.00 90.79 90.00
Space group P2/m (No. 10)
Inequivalent atoms, fractional coordinates:
Li 0.0000 0.1963 0.0000 (multiplicity 2)
Ce 0.5000 0.5000 0.5000 (multiplicity 1)
Zn 0.5000 0.0000 0.5000 (multiplicity 1)
F 0.1854 0.5000 0.8089 (multiplicity 2)
F 0.2112 0.0000 0.7864 (multiplicity 2)
F 0.2973 0.2464 0.2940 (multiplicity 4)

Output
ΔE_f (raw) = -3.071 eV per atom
Total DFT energy (no corrections) = -5.238 eV/atom



4.
The following is a DFT calculation (PBE) of crystalline ScAgI2O at its relaxed geometry.

a b c (Å): 5.7402 5.7402 4.0143
angles (deg): 90.00 90.00 90.00
Space group P4/mmm (No. 123)
Inequivalent atoms, fractional coordinates:
Sc 0.0000 0.0000 0.0000 (multiplicity 1)
Ag 0.5000 0.5000 0.5000 (multiplicity 1)
I 0.0000 0.5000 0.5000 (multiplicity 2)
O 0.5000 0.5000 0.0000 (multiplicity 1)

Output
Relative energy among the computed polymorphs = 5.495 eV per formula unit
ΔE_f (raw) = -0.023 eV per atom
Total DFT energy (no corrections) = -3.472 eV/atom



5.
The following is a DFT calculation (PBE) of crystalline CaInBr2 at its relaxed geometry.

a b c (Å): 18.3191 4.0364 9.4800
angles (deg): 90.00 115.44 90.00
Space group C2/m (No. 12)
Inequivalent atoms, fractional coordinates:
Ca 0.0000 0.0000 0.0000 (multiplicity 2)
Ca 0.0000 0.5000 0.5000 (multiplicity 2)
In 0.1815 0.0000 0.9975 (multiplicity 4)
Br 0.0506 0.5000 0.2397 (multiplicity 4)
Br 0.1215 0.0000 0.6452 (multiplicity 4)

Output
Relative energy among the computed polymorphs = 0.045 eV per formula unit
ΔE_f (raw) = -1.267 eV per atom
Total DFT energy (no corrections) = -3.289 eV/atom



6.
The following is a DFT calculation (PBE) of crystalline Cd2InSb at its relaxed geometry.

a b c (Å): 3.3930 4.3858 6.8741
angles (deg): 90.00 90.00 90.00
Space group Pmm2 (No. 25)
Inequivalent atoms, fractional coordinates:
Cd 0.0000 0.0000 0.0000 (multiplicity 1)
Cd 0.5000 0.5000 0.2288 (multiplicity 1)
In 0.0000 0.0000 0.4818 (multiplicity 1)
Sb 0.5000 0.5000 0.7485 (multiplicity 1)

Output
Relative energy among the computed polymorphs = 0.150 eV per formula unit
ΔE_f (raw) = 0.075 eV per atom
Total DFT energy (no corrections) = -2.098 eV/atom



7.
The following is a DFT calculation (PBE) of crystalline MgPbF4 at its relaxed geometry.

a b c (Å): 7.5154 9.5861 6.1546
angles (deg): 90.00 115.83 90.00
Space group C2/c (No. 15)
Inequivalent atoms, fractional coordinates:
Mg 0.0000 0.0158 0.2500 (multiplicity 4)
Pb 0.0000 0.3674 0.7500 (multiplicity 4)
F 0.0223 0.1376 0.9952 (multiplicity 8)
F 0.2034 0.4844 0.5864 (multiplicity 8)

Output
ΔE_f (raw) = -2.938 eV per atom
Total DFT energy (no corrections) = -5.069 eV/atom



8.
The following is a DFT calculation (PBE) of crystalline NaCaAgI4 at its relaxed geometry.

a b c (Å): 9.0330 9.2702 12.9525
angles (deg): 90.00 90.00 90.00
Space group Imma (No. 74)
Inequivalent atoms, fractional coordinates:
Na 0.2500 0.2500 0.2500 (multiplicity 4)
Ca 0.0000 0.0000 0.0000 (multiplicity 4)
Ag 0.0000 0.2500 0.6407 (multiplicity 4)
I 0.0000 0.0086 0.2414 (multiplicity 8)
I 0.2423 0.2500 0.9985 (multiplicity 8)

Output
ΔE_f (raw) = -1.110 eV per atom
Total DFT energy (no corrections) = -2.878 eV/atom



9.
The following is a DFT calculation (PBE) of crystalline PaTeCl at its relaxed geometry.

a b c (Å): 4.8083 4.8083 3.9644
angles (deg): 90.00 90.00 120.00
Space group P-6m2 (No. 187)
Inequivalent atoms, fractional coordinates:
Pa 0.0000 0.0000 0.0000 (multiplicity 1)
Te 0.3333 0.6667 0.5000 (multiplicity 1)
Cl 0.6667 0.3333 0.0000 (multiplicity 1)

Output
Relative energy among the computed polymorphs = 0.353 eV per formula unit
ΔE_f (raw) = -1.008 eV per atom
Total DFT energy (no corrections) = -5.836 eV/atom



10.
The following is a DFT calculation (PBE) of crystalline NbAgOF2 at its relaxed geometry.

a b c (Å): 4.3325 4.3325 3.9697
angles (deg): 90.00 90.00 90.00
Space group P4/mmm (No. 123)
Inequivalent atoms, fractional coordinates:
Nb 0.0000 0.0000 0.0000 (multiplicity 1)
Ag 0.5000 0.5000 0.5000 (multiplicity 1)
O 0.0000 0.0000 0.5000 (multiplicity 1)
F 0.0000 0.5000 0.0000 (multiplicity 2)

Output
Relative energy among the computed polymorphs = 0.000 eV per formula unit
ΔE_f (raw) = -1.686 eV per atom
Total DFT energy (no corrections) = -6.010 eV/atom



11.
The following is a DFT calculation (PBE) of crystalline Cu2SO at its relaxed geometry.

a b c (Å): 4.8492 4.8492 9.6883
angles (deg): 90.00 90.00 90.00
Space group I-42d (No. 122)
Inequivalent atoms, fractional coordinates:
Cu 0.2027 0.2500 0.1250 (multiplicity 8)
S 0.0000 0.0000 0.5000 (multiplicity 4)
O 0.0000 0.0000 0.0000 (multiplicity 4)

Output
Relative energy among the computed polymorphs = 0.015 eV per formula unit
ΔE_f (raw) = -0.293 eV per atom
Total DFT energy (no corrections) = -4.613 eV/atom



12.
The following is a DFT calculation (PBE) of crystalline BaScSeBr2 at its relaxed geometry.

a b c (Å): 5.2981 5.2981 5.3483
angles (deg): 90.00 90.00 90.00
Space group P4/mmm (No. 123)
Inequivalent atoms, fractional coordinates:
Ba 0.0000 0.0000 0.0000 (multiplicity 1)
Sc 0.5000 0.5000 0.5000 (multiplicity 1)
Se 0.5000 0.5000 0.0000 (multiplicity 1)
Br 0.0000 0.5000 0.5000 (multiplicity 2)

Output
Relative energy among the computed polymorphs = 0.000 eV per formula unit
ΔE_f (raw) = -1.629 eV per atom
Total DFT energy (no corrections) = -4.646 eV/atom



What did the ninth record say?
The following is a DFT calculation (PBE) of crystalline PaTeCl at its relaxed geometry.

a b c (Å): 4.8083 4.8083 3.9644
angles (deg): 90.00 90.00 120.00
Space group P-6m2 (No. 187)
Inequivalent atoms, fractional coordinates:
Pa 0.0000 0.0000 0.0000 (multiplicity 1)
Te 0.3333 0.6667 0.5000 (multiplicity 1)
Cl 0.6667 0.3333 0.0000 (multiplicity 1)

Output
Relative energy among the computed polymorphs = 0.353 eV per formula unit
ΔE_f (raw) = -1.008 eV per atom
Total DFT energy (no corrections) = -5.836 eV/atom



What did the first record say?
The following is a DFT calculation (PBE) of crystalline Er5ThSe6 at its relaxed geometry.

a b c (Å): 7.0370 12.2660 7.0340
angles (deg): 90.00 109.87 90.00
Space group C2/m (No. 12)
Inequivalent atoms, fractional coordinates:
Er 0.0000 0.0000 0.0000 (multiplicity 2)
Er 0.0000 0.1665 0.5000 (multiplicity 4)
Er 0.0000 0.3385 0.0000 (multiplicity 4)
Th 0.0000 0.5000 0.5000 (multiplicity 2)
Se 0.2401 0.0000 0.7530 (multiplicity 4)
Se 0.2425 0.1723 0.2429 (multiplicity 8)

Output
ΔE_f (raw) = -1.654 eV per atom
Total DFT energy (no corrections) = -5.916 eV/atom



> Look up the total DFT energy (no corrections) of the third one.

-5.238 eV/atom